Record 1
Material: Ba4Au3S
Method: DFT, PBE-GGA
State: optimized geometry

a = 6.5886 Å, b = 4.8191 Å, c = 9.0557 Å
α = 90.00°, β = 100.55°, γ = 90.00°
Space group Pm (No. 6)
Unique sites:
Ba  0.0000  0.0000  0.0000
Ba  0.1067  0.0000  0.4808
Ba  0.5267  0.5000  0.1658
Ba  0.6472  0.5000  0.6767
Au  0.1808  0.5000  0.7803
Au  0.4593  0.0000  0.8734
Au  0.5930  0.0000  0.4237
S  0.0415  0.5000  0.2273

electronic total energy	-3.68	eV/atom

***

Record 2
Material: CuBi2Ir
Method: DFT, PBE-GGA
State: optimized geometry

a = 6.9702 Å, b = 6.9702 Å, c = 6.9702 Å
α = 90.00°, β = 90.00°, γ = 90.00°
Space group F-43m (No. 216)
Unique sites:
Cu  0.0000  0.0000  0.0000
Bi  0.0000  0.0000  0.5000
Bi  0.2500  0.2500  0.2500
Ir  0.2500  0.2500  0.7500

electronic total energy	-4.50	eV/atom
size of the total moment	0.0	μB/cell

***

Record 3
Material: HoTm2ScIn2
Method: DFT, PBE-GGA
State: optimized geometry

a = 5.2712 Å, b = 5.2712 Å, c = 6.5459 Å
α = 90.00°, β = 90.00°, γ = 120.00°
Space group P-3m1 (No. 164)
Unique sites:
Ho  0.0000  0.0000  0.0000
Tm  0.3333  0.6667  0.2668
Sc  0.0000  0.0000  0.5000
In  0.3333  0.6667  0.7556

electronic total energy	-4.56	eV/atom
size of the total moment	0.8	μB/cell

***

Record 4
Material: Y2ZrIr2
Method: DFT, PBE-GGA
State: optimized geometry

a = 7.1156 Å, b = 7.1156 Å, c = 4.3914 Å
α = 90.00°, β = 90.00°, γ = 90.00°
Space group P4/mbm (No. 127)
Unique sites:
Y  0.1726  0.3274  0.0000
Zr  0.0000  0.0000  0.5000
Ir  0.1360  0.6360  0.5000

DFT formation energy	-0.71	eV/atom
size of the total moment	0.0	μB/cell

***

Record 5
Material: PrZrU
Method: DFT, PBE-GGA
State: optimized geometry

a = 7.1981 Å, b = 7.1981 Å, c = 7.1981 Å
α = 90.00°, β = 90.00°, γ = 90.00°
Space group F-43m (No. 216)
Unique sites:
Pr  0.0000  0.0000  0.0000
Zr  0.0000  0.0000  0.5000
U  0.2500  0.2500  0.2500

DFT formation energy	1.25	eV/atom
size of the total moment	19.0	μB/cell
energy above the lowest structure with this stoichiometry	0	meV/atom

***

Record 6
Material: TaAlCoCu
Method: DFT, PBE-GGA
State: optimized geometry

a = 6.0095 Å, b = 6.0095 Å, c = 6.0095 Å
α = 90.00°, β = 90.00°, γ = 90.00°
Space group F-43m (No. 216)
Unique sites:
Ta  0.0000  0.0000  0.0000
Al  0.2500  0.2500  0.2500
Co  0.0000  0.0000  0.5000
Cu  0.2500  0.2500  0.7500

size of the total moment	0.5	μB/cell
energy above the lowest structure with this stoichiometry	342	meV/atom

***

Record 7
Material: MgTcPd
Method: DFT, PBE-GGA
State: optimized geometry

a = 6.0682 Å, b = 6.0682 Å, c = 6.0682 Å
α = 90.00°, β = 90.00°, γ = 90.00°
Space group F-43m (No. 216)
Unique sites:
Mg  0.0000  0.0000  0.0000
Tc  0.2500  0.2500  0.2500
Pd  0.0000  0.0000  0.5000

electronic total energy	-5.04	eV/atom
size of the total moment	4.3	μB/cell

***

Record 8
Material: HfZr2
Method: DFT, PBE-GGA
State: optimized geometry

a = 5.1360 Å, b = 9.6506 Å, c = 5.5751 Å
α = 90.00°, β = 90.00°, γ = 90.00°
Space group Pmmn (No. 59, origin choice 2)
Unique sites:
Hf  0.2500  0.0834  0.0818
Zr  0.2500  0.2500  0.5813
Zr  0.2500  0.5820  0.5859
Zr  0.2500  0.7500  0.0828

DFT formation energy	0.00	eV/atom
size of the total moment	0.1	μB/cell

***

Record 9
Material: GdHf
Method: DFT, PBE-GGA
State: optimized geometry

a = 6.5190 Å, b = 6.5190 Å, c = 6.5190 Å
α = 90.00°, β = 90.00°, γ = 90.00°
Space group F-43m (No. 216)
Unique sites:
Gd  0.0000  0.0000  0.0000
Hf  0.2500  0.2500  0.7500

DFT formation energy	2.36	eV/atom
size of the total moment	0.0	μB/cell
energy above the lowest structure with this stoichiometry	2162	meV/atom

***

Record 10
Material: Gd3In3IrPd2
Method: DFT, PBE-GGA
State: optimized geometry

a = 7.6029 Å, b = 7.6029 Å, c = 4.0074 Å
α = 90.00°, β = 90.00°, γ = 120.00°
Space group P-62m (No. 189)
Unique sites:
Gd  0.0000  0.4009  0.0000
In  0.0000  0.7444  0.5000
Ir  0.0000  0.0000  0.0000
Pd  0.3333  0.6667  0.5000

electronic total energy	-5.36	eV/atom
size of the total moment	0.0	μB/cell

***

Record 11
Material: Zr2W
Method: DFT, PBE-GGA
State: optimized geometry

a = 4.8152 Å, b = 10.3213 Å, c = 4.8429 Å
α = 90.00°, β = 90.00°, γ = 90.00°
Space group Pmmn (No. 59, origin choice 2)
Unique sites:
Zr  0.2500  0.0732  0.0019
Zr  0.2500  0.2500  0.5026
Zr  0.2500  0.7500  0.9955
W  0.2500  0.5686  0.4995

DFT formation energy	0.16	eV/atom
size of the total moment	0.0	μB/cell
energy above the lowest structure with this stoichiometry	16	meV/atom

***

Record 12
Material: ZrZn
Method: DFT, PBE-GGA
State: optimized geometry

a = 4.5197 Å, b = 11.4612 Å, c = 5.7008 Å
α = 90.00°, β = 90.00°, γ = 90.00°
Space group Pmmn (No. 59, origin choice 2)
Unique sites:
Zr  0.2500  0.0920  0.0774
Zr  0.2500  0.2500  0.5589
Zr  0.2500  0.7500  0.8017
Zn  0.2500  0.5097  0.6201
Zn  0.2500  0.6369  0.2567

DFT formation energy	-0.17	eV/atom
size of the total moment	0.0	μB/cell

***

Record 13
Material: Li4GeOsO6
Method: DFT, PBE-GGA
State: optimized geometry

a = 5.1183 Å, b = 8.8484 Å, c = 5.0292 Å
α = 90.00°, β = 110.10°, γ = 90.00°
Space group C2 (No. 5)
Unique sites:
Li  0.0000  0.9996  0.0000
Li  0.0000  0.1604  0.5000
Li  0.0000  0.5000  0.5000
Li  0.0000  0.8386  0.5000
Ge  0.0000  0.6666  0.0000
Os  0.0000  0.3326  0.0000
O  0.2261  0.5056  0.2316
O  0.2382  0.6721  0.7729
O  0.2440  0.8211  0.2296

electronic total energy	-6.11	eV/atom
size of the total moment	4.0	μB/cell